## Ir2OsBr (PBE)

Data for a relaxed Ir2OsBr crystal.

Crystal system: tetragonal
Uncorrected formation energy: 1.225 eV per atom
Density: 17305 kg/m³
Space-group type: I4/mmm (139)

Lattice parameters (Å, degrees): 4.7595 4.7595 4.7595 129.36 129.36 74.42
Positions (direct):
Ir 0.5000 0.5000 0.0000
Os 0.2500 0.7500 0.5000
Ir 0.0000 0.0000 0.0000
Br 0.7500 0.2500 0.5000